[1]
VASP calculation (GGA-PBE) on crystalline NiSb at its relaxed geometry.

Results
space group	P-1 (2)
M_tot	0.00	μB per atom
final energy	-20.07	eV/cell
formation energy without anion corrections	-67	meV/atom

abc: 3.6149 4.6991 5.0511
angles: 87.35 68.77 67.30
Closest atoms and distances in Å follow each position.
Atoms (fractional coordinates):
1 Ni 0.5763 0.2369 0.1102  6 Sb 2.57-2.81, 3 Ni 2.61-2.85
2 Ni 0.4237 0.7631 0.8898  6 Sb 2.57-2.81, 3 Ni 2.61-2.85
3 Sb 0.7557 0.6967 0.2895  6 Ni 2.57-2.81
4 Sb 0.2443 0.3033 0.7105  6 Ni 2.57-2.81

---

[2]
VASP calculation (GGA-PBE) on crystalline NiSb at its relaxed geometry.

Results
space group	P-6m2 (187)
M_tot	0.00	μB per atom
final energy	-9.86	eV/cell
formation energy without anion corrections	20	meV/atom

abc: 3.8186 3.8186 2.9946
angles: 90.00 90.00 120.00
Closest atoms and distances in Å follow each position.
Atoms (fractional coordinates):
1 Sb 0.6667 0.3333 0.5000  6 Ni 2.67
2 Ni 0.0000 0.0000 0.0000  6 Sb 2.67